# 1
Crystalline AlPd2Cl at its relaxed geometry. Source: Alexandria via LeMat-Bulk, functional GGA-PBE.

Summary:
The calculation puts the uncorrected formation energy at -99 meV per atom.

a b c (Å): 5.658 5.658 11.274
angles (deg): 90.00 90.00 90.00
Space group I-42d (No. 122)
Unique sites:
Al  0.000  0.000  0.000 (multiplicity 4)
Pd  0.232  0.250  0.125 (multiplicity 8)
Cl  0.000  0.000  0.500 (multiplicity 4)



# 2
Crystalline Al2PdCl at its relaxed geometry. Source: Alexandria via LeMat-Bulk, functional GGA-PBE.

Summary:
The calculation puts the uncorrected formation energy at 39 meV per atom.

a b c (Å): 6.619 6.619 6.619
angles (deg): 90.00 90.00 90.00
Space group Fm-3m (No. 225)
Unique sites:
Al  0.250  0.250  0.250 (multiplicity 8)
Pd  0.000  0.000  0.000 (multiplicity 4)
Cl  0.000  0.000  0.500 (multiplicity 4)



# 3
Crystalline AlPdCl2 at its relaxed geometry. Source: Alexandria via LeMat-Bulk, functional GGA-PBE.

Summary:
The calculation puts the uncorrected formation energy at -214 meV per atom.

a b c (Å): 4.532 4.532 15.873
angles (deg): 90.00 90.00 90.00
Space group I-42d (No. 122)
Unique sites:
Al  0.000  0.000  0.000 (multiplicity 4)
Pd  0.000  0.000  0.500 (multiplicity 4)
Cl  0.239  0.250  0.125 (multiplicity 8)



# 4
Crystalline AlPdCl2 at its relaxed geometry. Source: Alexandria via LeMat-Bulk, functional GGA-PBE.

Summary:
The calculation puts the uncorrected formation energy at -200 meV per atom.

a b c (Å): 3.2832 3.2832 25.3632
angles (deg): 90.00 90.00 120.00
Space group R-3m (No. 166, hexagonal axes)
Unique sites:
Al  0.0000  0.0000  0.0000 (multiplicity 3)
Pd  0.0000  0.0000  0.5000 (multiplicity 3)
Cl  0.0000  0.0000  0.4074 (multiplicity 6)



V per entry: 360.93, 290.02, 326.03, 236.77 Å³ per cell
Calculated density per entry: 5.066, 4.485, 4.162, 4.299 g/cm3
Total DFT energy (no corrections) per entry: -0.150, -0.132, -0.124, -0.123 Ha/atom